# HfBiH2

A relaxed structure of HfBiH2 (PBE, Alexandria via LeMat-Bulk).

The space group is Cm (No. 8) and the conventional cell measures 5.8927, 3.5415 and 5.8097 Å, with angles of 90.00, 110.27 and 90.00 degrees. The inequivalent atoms are Hf at (0.0000, 0.0000, 0.0000), Bi at (0.3083, 0.5000, 0.4300), H at (0.1301, 0.5000, 0.8785) and H at (0.3256, 0.0000, 0.9561).

For the total energy, the calculation gives -5.4105 eV per atom. The calculation puts the volume at 113.7 Å³/cell. Its magnetization is 0.0 μB/f.u.

# Hf4Bi2H

A relaxed structure of Hf4Bi2H (PBE, Alexandria via LeMat-Bulk).

The space group is I4/mmm (No. 139) and the conventional cell measures 4.3754, 4.3754 and 15.0797 Å, with angles of 90.00, 90.00 and 90.00 degrees. The inequivalent atoms are Hf at (0.0000, 0.0000, 0.1528), Hf at (0.0000, 0.5000, 0.0000), Bi at (0.0000, 0.0000, 0.3521) and H at (0.0000, 0.0000, 0.0000).

For the total energy, the calculation gives -7.4182 eV per atom. The calculation puts the volume at 288.7 Å³/cell. Its magnetization is 0.0 μB/f.u.

# Hf6Bi3H

A relaxed structure of Hf6Bi3H (PBE, Alexandria via LeMat-Bulk).

The space group is Cmc2_1 (No. 36) and the conventional cell measures 11.4410, 14.5986 and 5.0106 Å, with angles of 90.00, 90.00 and 90.00 degrees. The inequivalent atoms are Hf at (0.0000, 0.0694, 0.0000), Hf at (0.0000, 0.2619, 0.5066), Hf at (0.1668, 0.2418, 0.0094), Hf at (0.1676, 0.4255, 0.5041), Bi at (0.0000, 0.4072, 0.0050), Bi at (0.1664, 0.0951, 0.5000) and H at (0.0000, 0.2040, 0.8845).

For the total energy, the calculation gives -7.6069 eV per atom. The calculation puts the volume at 836.9 Å³/cell. Its magnetization is 0.0 μB/f.u.

# HfBi3H

A relaxed structure of HfBi3H (PBE, Alexandria via LeMat-Bulk).

The space group is Pm-3m (No. 221) and the conventional cell measures 5.6506, 5.6506 and 5.6506 Å, with angles of 90.00, 90.00 and 90.00 degrees. The inequivalent atoms are Hf at (0.0000, 0.0000, 0.0000), Bi at (0.0000, 0.0000, 0.5000) and H at (0.5000, 0.5000, 0.5000).

For the total energy, the calculation gives -4.2841 eV per atom. The calculation puts the volume at 180.4 Å³/cell. Its magnetization is 0.8 μB/f.u.